Here is a relaxed structure of Zn7Pt2Rh3 from the Alexandria database. Energies are from PBE.

```
Zn7Pt2Rh3
1.0
2.082 -11.695 0.000
2.082 11.695 0.000
0.000 0.000 3.790
Zn Pt Rh
7 2 3
Cartesian
0.000 0.000 0.000 Zn
2.082 9.790 1.895 Zn
2.082 5.240 0.000 Zn
2.082 1.821 0.000 Zn
2.082 -1.821 0.000 Zn
2.082 -5.240 0.000 Zn
2.082 -9.790 1.895 Zn
2.082 7.956 0.000 Pt
2.082 -7.956 0.000 Pt
2.082 3.486 1.895 Rh
2.082 0.000 1.895 Rh
2.082 -3.486 1.895 Rh
```

## Properties
Density of states at the Fermi level in states/eV/cell: 4.25
Calculated formation energy in eV per formula unit: -2.9
Symmetry: Cmmm
VASP energy in eV per atom: -3.831